# 1
DFT (PBE-GGA) results for an optimized crystal structure of PmPr7Nd4.

Unit cell a=6.891 b=6.891 c=13.120 alpha=114.78 beta=114.78 gamma=53.30
Sites, in units of the cell vectors:
Pm 0.000 0.000 0.000
Pr 0.063 0.063 0.323
Pr 0.210 0.210 0.921
Pr 0.370 0.370 0.500
Pr 0.500 0.500 0.000
Pr 0.630 0.630 0.500
Pr 0.790 0.790 0.079
Pr 0.937 0.937 0.677
Nd 0.240 0.240 0.677
Nd 0.360 0.360 0.223
Nd 0.640 0.640 0.777
Nd 0.760 0.760 0.323

Results
The calculation puts the calculated formation energy at 223 meV/atom.

# 2
DFT (PBE-GGA) results for an optimized crystal structure of Pr2PaBi.

Unit cell a=12.564 b=12.564 c=12.564 alpha=15.49 beta=15.49 gamma=15.49
Sites, in units of the cell vectors:
Pr 0.089 0.089 0.089
Pr 0.911 0.911 0.911
Pa 0.000 0.000 0.000
Bi 0.500 0.500 0.500

Results
The calculation puts the calculated formation energy at 152 meV/atom.

# 3
DFT (PBE-GGA) results for an optimized crystal structure of CaPrHoMg.

Unit cell a=5.649 b=5.649 c=5.649 alpha=60.00 beta=60.00 gamma=60.00
Sites, in units of the cell vectors:
Ca 0.000 0.000 0.000
Pr 0.250 0.250 0.250
Ho 0.750 0.750 0.750
Mg 0.500 0.500 0.500

Results
The calculation puts the calculated formation energy at 58 meV/atom.

# 4
DFT (PBE-GGA) results for an optimized crystal structure of BeFe3Br.

Unit cell a=4.155 b=4.155 c=4.155 alpha=90.00 beta=90.00 gamma=90.00
Sites, in units of the cell vectors:
Be 0.000 0.000 0.000
Fe 0.000 0.000 0.500
Fe 0.000 0.500 0.000
Fe 0.500 0.000 0.000
Br 0.500 0.500 0.500

Results
The uncorrected formation energy comes out at 0.837 eV per atom.

# 5
DFT (PBE-GGA) results for an optimized crystal structure of TbMgI4.

Unit cell a=7.814 b=4.105 c=7.817 alpha=90.00 beta=92.78 gamma=90.00
Sites, in units of the cell vectors:
Tb 0.000 0.000 0.000
Mg 0.500 0.500 0.000
I 0.179 0.500 0.769
I 0.344 0.000 0.214
I 0.656 0.000 0.786
I 0.821 0.500 0.231

Results
The uncorrected formation energy comes out at -1.091 eV per atom.

# 6
DFT (PBE-GGA) results for an optimized crystal structure of PmCdPd2.

Unit cell a=4.875 b=4.875 c=4.875 alpha=60.00 beta=60.00 gamma=60.00
Sites, in units of the cell vectors:
Pm 0.000 0.000 0.000
Cd 0.500 0.500 0.500
Pd 0.250 0.250 0.250
Pd 0.750 0.750 0.750

Results
The calculation puts the calculated formation energy at -667 meV/atom.

# 7
DFT (PBE-GGA) results for an optimized crystal structure of CaCd2TcO6.

Unit cell a=5.629 b=5.700 c=9.889 alpha=90.00 beta=124.30 gamma=90.00
Sites, in units of the cell vectors:
Ca 0.000 0.000 0.000
Ca 0.000 0.500 0.500
Cd 0.238 0.039 0.742
Cd 0.238 0.461 0.242
Cd 0.762 0.539 0.758
Cd 0.762 0.961 0.258
Tc 0.500 0.000 0.500
Tc 0.500 0.500 0.000
O 0.170 0.073 0.274
O 0.170 0.427 0.774
O 0.249 0.658 0.045
O 0.249 0.842 0.545
O 0.425 0.212 0.070
O 0.425 0.288 0.570
O 0.575 0.712 0.430
O 0.575 0.788 0.930
O 0.751 0.158 0.455
O 0.751 0.342 0.955
O 0.830 0.573 0.226
O 0.830 0.927 0.726

Results
The uncorrected formation energy comes out at -1.532 eV per atom.

# 8
DFT (PBE-GGA) results for an optimized crystal structure of CaBi2OsO6.

Unit cell a=5.625 b=6.153 c=9.858 alpha=90.00 beta=123.08 gamma=90.00
Sites, in units of the cell vectors:
Ca 0.000 0.000 0.000
Ca 0.000 0.500 0.500
Bi 0.229 0.064 0.722
Bi 0.229 0.436 0.222
Bi 0.771 0.564 0.778
Bi 0.771 0.936 0.278
Os 0.500 0.000 0.500
Os 0.500 0.500 0.000
O 0.153 0.063 0.271
O 0.153 0.437 0.771
O 0.197 0.659 0.018
O 0.197 0.841 0.518
O 0.394 0.240 0.076
O 0.394 0.260 0.576
O 0.606 0.740 0.424
O 0.606 0.760 0.924
O 0.803 0.159 0.482
O 0.803 0.341 0.982
O 0.847 0.563 0.229
O 0.847 0.937 0.729

Results
The uncorrected formation energy comes out at -1.455 eV per atom.

no.,calculated volume (A^3/atom),density of states at the Fermi level (states/eV/f.u.)
1,36.76,19.00
2,30.79,4.42
3,31.87,4.87
4,14.35,5.79
5,41.74,2.39
6,20.48,2.14
7,13.10,2.17
8,14.29,1.16